# 1
SrZnSb2 (GGA-PBE, optimized geometry); uncorrected formation energy = -0.29 eV/atom; final energy = -3.09 eV per atom
1.0
-0.412 -3.339 -4.307
4.352 2.398 -2.275
7.532 -6.576 0.911
Sb Sr Zn
4 2 2
Direct
0.486 0.125 0.250
0.875 0.736 0.750
0.375 0.514 0.750
0.264 0.625 0.250
0.750 0.250 0.500
0.000 0.000 0.000
0.250 0.750 0.500
0.500 0.500 0.000

# 2
SrZn2Sb2 (GGA-PBE, optimized geometry); uncorrected formation energy = -0.37 eV/atom; final energy = -2.87 eV per atom
1.0
-2.017 -1.457 -4.462
-1.813 -3.631 3.103
-2.202 5.414 1.615
Sb Sr Zn
2 1 2
Direct
0.750 0.250 0.000
0.250 0.750 0.000
0.000 0.000 0.500
0.620 0.620 0.740
0.380 0.380 0.260

# 3
SrZnSb2 (GGA-PBE, optimized geometry); uncorrected formation energy = -0.35 eV/atom; final energy = -3.15 eV per atom
1.0
4.813 -0.006 0.010
0.005 4.813 0.010
-0.032 -0.032 4.677
Sr Sb Zn
1 2 1
Direct
0.500 0.000 0.500
0.500 0.500 0.000
0.000 0.000 0.000
0.000 0.500 0.500

# 4
SrZn2Sb2 (GGA-PBE, optimized geometry); uncorrected formation energy = -0.43 eV/atom; final energy = -2.93 eV per atom
1.0
4.204 0.000 -1.456
0.000 4.484 0.000
0.214 0.000 7.428
Sr Sb Zn
1 2 2
Direct
0.037 0.800 0.073
0.354 0.800 0.708
0.620 0.300 0.239
0.248 0.300 0.495
0.742 0.800 0.485

# 5
SrZn3Sb3 (GGA-PBE, optimized geometry); ΔE to the lowest computed polymorph = 0.000 eV per atom; uncorrected formation energy = -0.30 eV/atom; final energy = -2.85 eV per atom
1.0
7.618 0.000 0.000
3.809 6.597 0.000
3.809 2.199 8.005
Sb Zn Sr
6 6 2
Direct
0.087 0.770 0.734
0.409 0.087 0.734
0.591 0.913 0.266
0.913 0.230 0.266
0.230 0.591 0.266
0.770 0.409 0.734
0.525 0.218 0.388
0.475 0.782 0.612
0.218 0.870 0.388
0.782 0.130 0.612
0.130 0.475 0.612
0.870 0.525 0.388
0.334 0.334 0.998
0.666 0.666 0.002

# 6
SrZnSb2 (GGA-PBE, optimized geometry); uncorrected formation energy = -0.32 eV/atom; final energy = -3.12 eV per atom
1.0
6.081 -0.008 -0.070
4.585 3.994 -0.070
1.600 0.598 4.923
Sr Zn Sb
1 1 2
Direct
0.498 0.498 0.499
0.703 0.703 0.888
0.020 0.020 0.981
0.279 0.279 0.132

# 7
SrZn2Sb2 (GGA-PBE, optimized geometry); uncorrected formation energy = -0.12 eV/atom; final energy = -2.62 eV per atom
1.0
-0.098 2.450 8.054
-6.541 -5.093 1.470
2.282 -2.687 0.845
Sb Zn Sr
4 4 2
Direct
0.640 0.140 0.000
0.140 0.360 0.000
0.360 0.860 0.000
0.860 0.640 0.000
0.852 0.352 0.500
0.148 0.648 0.500
0.352 0.148 0.500
0.648 0.852 0.500
0.500 0.500 0.000
0.000 0.000 0.000

# 8
SrZnSb2 (GGA-PBE, optimized geometry); uncorrected formation energy = -0.22 eV/atom; final energy = -3.02 eV per atom
1.0
3.990 0.000 0.000
0.000 3.990 0.000
0.000 0.000 7.035
Sr Sb Zn
1 2 1
Direct
0.000 0.000 0.510
0.500 0.500 0.206
0.000 0.000 0.993
0.500 0.500 0.791

# 9
Sr2ZnSb2 (GGA-PBE, optimized geometry); uncorrected formation energy = -0.71 eV/atom; final energy = -3.29 eV per atom
1.0
-1.302 0.653 -4.439
-1.166 -3.941 2.221
-7.473 3.757 2.745
Sr Sb Zn
2 2 1
Direct
0.333 0.667 0.714
0.333 0.667 0.286
0.667 0.333 0.500
0.000 0.000 0.000
0.667 0.333 0.000

# 10
SrZn2Sb2 (GGA-PBE, optimized geometry); uncorrected formation energy = -0.48 eV/atom; final energy = -2.98 eV per atom
1.0
4.568 0.000 0.000
-2.284 3.956 0.000
0.000 0.000 7.735
Sr Zn Sb
1 2 2
Direct
0.000 0.000 0.000
0.333 0.667 0.635
0.667 0.333 0.365
0.333 0.667 0.270
0.667 0.333 0.730

# 11
SrZnSb2 (GGA-PBE, optimized geometry); uncorrected formation energy = -0.17 eV/atom; final energy = -2.97 eV per atom
1.0
3.627 0.000 0.000
0.000 3.627 0.000
0.000 0.000 8.376
Sr Sb Zn
1 2 1
Direct
0.500 0.500 0.250
0.000 0.000 0.962
0.000 0.000 0.538
0.500 0.500 0.750

# 12
SrZn3Sb (GGA-PBE, optimized geometry); ΔE to the lowest computed polymorph = 0.000 eV per atom; uncorrected formation energy = 0.20 eV/atom; final energy = -1.73 eV per atom
1.0
-5.267 0.198 0.657
0.362 -3.522 3.960
0.583 3.971 3.479
Zn Sr Sb
3 1 1
Direct
0.000 0.000 0.500
0.000 0.500 0.000
0.500 0.000 0.000
0.500 0.500 0.500
0.000 0.000 0.000

# 13
Sr3ZnSb (GGA-PBE, optimized geometry); ΔE to the lowest computed polymorph = 0.000 eV per atom; uncorrected formation energy = -0.20 eV/atom; final energy = -2.29 eV per atom
1.0
-5.047 3.438 -1.577
-2.944 -5.221 -1.962
-2.375 -0.834 5.783
Zn Sr Sb
1 3 1
Direct
0.500 0.500 0.500
0.000 0.500 0.000
0.500 0.000 0.000
0.000 0.000 0.500
0.000 0.000 0.000

# 14
SrZn4Sb (GGA-PBE, optimized geometry); uncorrected formation energy = -0.09 eV/atom; final energy = -1.90 eV per atom
1.0
0.000 4.011 4.011
4.011 0.000 4.011
4.011 4.011 0.000
Zn Sr Sb
4 1 1
Direct
0.376 0.376 0.376
0.872 0.376 0.376
0.376 0.376 0.872
0.376 0.872 0.376
0.000 0.000 0.000
0.750 0.750 0.750

# 15
SrZnSb2 (GGA-PBE, optimized geometry); uncorrected formation energy = -0.32 eV/atom; final energy = -3.12 eV per atom
1.0
5.173 0.000 0.000
0.000 4.657 -0.003
0.000 0.022 5.429
Sb Sr Zn
2 1 1
Direct
0.000 0.004 0.961
0.500 0.005 0.303
0.000 0.503 0.450
0.500 0.987 0.785

# 16
SrZn3Sb (GGA-PBE, optimized geometry); ΔE to the lowest computed polymorph = 0.698 eV per atom; uncorrected formation energy = 0.90 eV/atom; final energy = -1.03 eV per atom
1.0
-3.267 -4.348 -1.690
4.291 -3.610 0.995
-1.831 -0.702 5.347
Zn Sb Sr
3 1 1
Direct
0.000 0.500 0.000
0.500 0.000 0.000
0.000 0.000 0.500
0.500 0.500 0.500
0.000 0.000 0.000

# 17
SrZnSb2 (GGA-PBE, optimized geometry); uncorrected formation energy = -0.26 eV/atom; final energy = -3.06 eV per atom
1.0
5.750 0.055 0.000
-1.728 5.485 0.000
0.000 0.000 3.519
Sb Sr Zn
2 1 1
Direct
0.500 0.500 0.000
0.000 0.000 0.000
0.500 0.000 0.500
0.000 0.500 0.500

# 18
Sr4ZnSb (GGA-PBE, optimized geometry); uncorrected formation energy = 0.30 eV/atom; final energy = -1.72 eV per atom
1.0
6.247 1.392 3.049
0.247 2.171 6.744
2.533 -4.315 5.023
Sb Zn Sr
1 1 4
Direct
0.000 0.000 0.000
0.750 0.750 0.750
0.878 0.374 0.374
0.374 0.374 0.878
0.374 0.374 0.374
0.374 0.878 0.374

# 19
SrZn3Sb3 (GGA-PBE, optimized geometry); ΔE to the lowest computed polymorph = 0.010 eV per atom; uncorrected formation energy = -0.29 eV/atom; final energy = -2.84 eV per atom
1.0
-2.006 3.954 0.664
-9.502 -4.631 -1.124
4.488 0.661 9.614
Sb Zn Sr
6 6 2
Direct
0.250 0.091 0.403
0.750 0.909 0.597
0.250 0.597 0.688
0.750 0.688 0.091
0.750 0.403 0.312
0.250 0.312 0.909
0.750 0.936 0.347
0.250 0.064 0.653
0.250 0.347 0.411
0.250 0.589 0.936
0.750 0.411 0.064
0.750 0.653 0.589
0.750 0.333 0.667
0.250 0.667 0.333

# 20
Sr2ZnSb2 (GGA-PBE, optimized geometry); uncorrected formation energy = -0.61 eV/atom; final energy = -3.18 eV per atom
1.0
-5.675 -4.290 4.102
-2.153 -3.801 -6.954
3.209 -3.411 0.871
Sr Sb Zn
4 4 2
Direct
0.823 0.323 0.500
0.177 0.677 0.500
0.677 0.823 0.500
0.323 0.177 0.500
0.625 0.125 0.000
0.875 0.625 0.000
0.125 0.375 0.000
0.375 0.875 0.000
0.500 0.500 0.000
0.000 0.000 0.000

# 21
Sr2ZnSb2 (GGA-PBE, optimized geometry); uncorrected formation energy = -0.57 eV/atom; final energy = -3.15 eV per atom
1.0
-1.406 3.263 -5.229
1.428 -5.045 -3.532
-6.727 -3.101 -3.948
Sr Sb Zn
2 2 1
Direct
0.750 0.250 0.500
0.250 0.750 0.500
0.177 0.177 0.646
0.823 0.823 0.354
0.000 0.000 0.000

# 22
SrZn3Sb3 (GGA-PBE, optimized geometry); ΔE to the lowest computed polymorph = 0.123 eV per atom; uncorrected formation energy = -0.17 eV/atom; final energy = -2.73 eV per atom
1.0
7.498 0.000 0.000
0.000 7.498 0.000
0.000 0.000 7.498
Zn Sb Sr
6 6 2
Direct
0.750 0.500 0.000
0.250 0.500 0.000
0.000 0.750 0.500
0.500 0.000 0.750
0.500 0.000 0.250
0.000 0.250 0.500
0.500 0.750 0.000
0.500 0.250 0.000
0.000 0.500 0.750
0.000 0.500 0.250
0.750 0.000 0.500
0.250 0.000 0.500
0.500 0.500 0.500
0.000 0.000 0.000

# 23
SrZnSb2 (GGA-PBE, optimized geometry); uncorrected formation energy = -0.20 eV/atom; final energy = -3.00 eV per atom
1.0
8.579 -0.007 -0.004
7.620 3.941 -0.004
7.620 1.851 3.480
Zn Sb Sr
1 2 1
Direct
0.750 0.750 0.750
0.017 0.017 0.017
0.483 0.483 0.483
0.250 0.250 0.250

# 24
Sr2ZnSb2 (GGA-PBE, optimized geometry); uncorrected formation energy = -0.44 eV/atom; final energy = -3.01 eV per atom
1.0
9.614 0.000 0.000
0.000 9.614 0.000
0.000 0.000 3.715
Sr Sb Zn
4 4 2
Direct
0.639 0.139 0.000
0.361 0.861 0.000
0.139 0.361 0.000
0.861 0.639 0.000
0.162 0.662 0.500
0.338 0.162 0.500
0.838 0.338 0.500
0.662 0.838 0.500
0.000 0.000 0.000
0.500 0.500 0.000

# 25
Sr2ZrSb (GGA-PBE, optimized geometry); uncorrected formation energy = 0.02 eV/atom; final energy = -3.99 eV per atom
1.0
-4.533 -3.668 -2.415
2.766 -2.168 5.243
-2.380 1.655 1.945
Sr Zr Sb
2 1 1
Direct
0.000 0.000 0.000
0.500 0.500 0.000
0.500 0.000 0.500
0.000 0.500 0.500

# 26
SrZrSb2 (GGA-PBE, optimized geometry); ΔE to the lowest computed polymorph = 0.403 eV per atom; uncorrected formation energy = -0.41 eV/atom; final energy = -5.02 eV per atom
1.0
5.275 -0.153 0.000
-0.772 5.221 0.000
0.000 0.000 3.954
Zr Sr Sb
1 1 2
Direct
0.000 0.500 0.500
0.500 0.000 0.500
0.500 0.500 0.000
0.000 0.000 0.000

# 27
Sr2ZrSb (GGA-PBE, optimized geometry); uncorrected formation energy = -0.17 eV/atom; final energy = -4.18 eV per atom
1.0
6.911 -0.011 -0.009
5.705 3.901 -0.009
2.372 0.731 5.143
Sr Sb Zr
2 1 1
Direct
0.759 0.759 0.741
0.962 0.962 0.038
0.225 0.225 0.276
0.555 0.555 0.445